(1)
## TiHRu2Rh (PBE)

Data for TiHRu2Rh after structural relaxation.

Properties
E, eV/atom: -7.737
V, Å³ per cell: 59.6

abc: 3.896 3.896 3.926
angles: 90.00 90.00 90.00
Fractional coordinates of all 5 atoms:
Ru 0.500 0.000 0.000
Ru 0.000 0.500 0.000
H 0.000 0.000 0.000
Rh 0.000 0.000 0.500
Ti 0.500 0.500 0.500

=====

(2)
## TiHRu2Rh (PBE)

Data for TiHRu2Rh after structural relaxation.

Properties
E, eV/atom: -7.743
V, Å³ per cell: 59.4

abc: 3.848 3.848 4.008
angles: 90.00 90.00 90.00
Fractional coordinates of all 5 atoms:
H 0.000 0.000 0.000
Ru 0.500 0.000 0.000
Ru 0.000 0.500 0.000
Rh 0.500 0.500 0.500
Ti 0.000 0.000 0.500

=====

(3)
## UHRu2Rh (PBE)

Data for UHRu2Rh after structural relaxation.

Properties
E, eV/atom: -8.484
V, Å³ per cell: 66.3

abc: 3.963 4.091 4.091
angles: 90.00 90.00 90.00
Fractional coordinates of all 5 atoms:
Ru 0.000 0.000 0.500
Ru 0.000 0.500 0.000
H 0.000 0.000 0.000
Rh 0.500 0.000 0.000
U 0.500 0.500 0.500

=====

(4)
## UHRuRh2 (PBE)

Data for UHRuRh2 after structural relaxation.

Properties
E, eV/atom: -8.155
V, Å³ per cell: 66.8

abc: 4.162 4.007 4.007
angles: 90.00 90.00 90.00
Fractional coordinates of all 5 atoms:
U 0.500 0.500 0.500
Rh 0.000 0.000 0.500
Rh 0.000 0.500 0.000
H 0.000 0.000 0.000
Ru 0.500 0.000 0.000

=====

(5)
## HRuRhW2 (PBE)

Data for HRuRhW2 after structural relaxation.

Properties
E, eV/atom: -9.186
V, Å³ per cell: 62.1

abc: 3.996 3.996 3.889
angles: 90.00 90.00 90.00
Fractional coordinates of all 5 atoms:
W 0.500 0.000 0.000
W 0.000 0.500 0.000
H 0.000 0.000 0.000
Ru 0.000 0.000 0.500
Rh 0.500 0.500 0.500

=====

(6)
## HRuRh2W (PBE)

Data for HRuRh2W after structural relaxation.

Properties
E, eV/atom: -8.084
V, Å³ per cell: 60.2

abc: 3.844 3.844 4.074
angles: 90.00 90.00 90.00
Fractional coordinates of all 5 atoms:
W 0.000 0.000 0.500
Ru 0.500 0.500 0.500
H 0.000 0.000 0.000
Rh 0.500 0.000 0.000
Rh 0.000 0.500 0.000

=====

Question: E of number 5 (HRuRhW2)?
Answer: -9.186 eV/atom